# Nb3MoF (GGA+U, optimized geometry)
data_Nb3MoF
_cell_length_a 4.378
_cell_length_b 4.378
_cell_length_c 4.378
_cell_angle_alpha 90.00
_cell_angle_beta 90.00
_cell_angle_gamma 90.00
_space_group_name_H-M_alt 'P m -3 m'
_space_group_IT_number 221
_space_group_name_Hall '-P 4 2 3'
loop_
_atom_site_label
_atom_site_type_symbol
_atom_site_fract_x
_atom_site_fract_y
_atom_site_fract_z
_atom_site_occupancy
Nb1 Nb 0.000 0.000 0.500 1
Mo1 Mo 0.500 0.500 0.500 1
F1 F 0.000 0.000 0.000 1
# - Density of states at the Fermi level: 3.5 states/eV/cell
# - Energy above the most stable polymorph in this dataset: 0.0 kJ per mole of atoms
# - M_tot: 2.62 μB per formula unit
# - Mass density: 7.8 g cm⁻³